A relaxed CaBi2Pd3 crystal, computed with PBE.

abc: 8.940 8.940 6.556
angles: 98.09 98.09 31.30
Atoms (fractional coordinates):
Ca 0.121 0.121 0.158
Ca 0.879 0.879 0.842
Bi 0.228 0.228 0.694
Bi 0.483 0.483 0.235
Bi 0.517 0.517 0.765
Bi 0.772 0.772 0.306
Pd 0.068 0.068 0.642
Pd 0.299 0.299 0.096
Pd 0.367 0.367 0.516
Pd 0.633 0.633 0.484
Pd 0.701 0.701 0.904
Pd 0.932 0.932 0.358

Values from the calculation:
Space-group type: No. 12
VASP energy in Ry per atom: -0.3476
Offset from the most stable computed form in eV per formula unit: 0.00
Crystal system: monoclinic
D(E_F) in states/eV/cell: 4.832
Total magnetization in μB/f.u.: 0.00
Calculated formation energy in kJ per mole of atoms: -48.8


A relaxed MgPdS crystal, computed with PBE.

abc: 3.731 5.376 5.954
angles: 86.18 77.66 72.10
Atoms (fractional coordinates):
Mg 0.000 0.000 0.000
Mg 0.436 0.582 0.366
Pd 0.606 0.911 0.613
Pd 0.955 0.360 0.641
S 0.328 0.136 0.304
S 0.696 0.649 0.947

Values from the calculation:
Space-group type: No. 1
VASP energy in Ry per atom: -0.3192
Crystal system: triclinic
D(E_F) in states/eV/cell: 0.588
Total magnetization in μB/f.u.: 0.00
Formation energy (no corrections) in meV per atom: -704.2


A relaxed ZrP3Pb crystal, computed with PBE.

abc: 5.012 5.012 5.012
angles: 90.00 90.00 90.00
Atoms (fractional coordinates):
Zr 0.000 0.000 0.000
P 0.000 0.500 0.500
P 0.500 0.000 0.500
P 0.500 0.500 0.000
Pb 0.500 0.500 0.500

Values from the calculation:
Space-group type: No. 221
VASP energy in Ry per atom: -0.3288
Offset from the most stable computed form in eV per formula unit: 5.25
Crystal system: cubic
D(E_F) in states/eV/cell: 3.430
Total magnetization in μB/f.u.: 0.00
Calculated formation energy in kJ per mole of atoms: 118.0